First-principles (PBE-GGA) data for crystalline Sc2TePb at its relaxed geometry, as listed in Alexandria via LeMat-Bulk.

Unit cell a=7.5282 b=7.5282 c=7.5282 alpha=32.08 beta=32.08 gamma=32.08
Last column: nearest neighbours and their distance in Å.
Sites, in units of the cell vectors:
Sc 0.0000 0.0000 0.0000  3 Pb 2.92, 3 Te 3.01
Sc 0.1746 0.1746 0.1746  3 Pb 2.96, 3 Te 3.08
Te 0.4182 0.4182 0.4182  6 Sc 3.01-3.08
Pb 0.5892 0.5892 0.5892  6 Sc 2.92-2.96

Calculated values
E_form (uncorrected), meV per atom: -675.8
Energy above the most stable polymorph in this dataset, eV per atom: 0.091
Final energy, Ry/atom: -0.40821